VASP calculation (PBE with a Hubbard U) on an optimized crystal structure of Ba2NiPd2O6.

The space group is R-3m (No. 166, hexagonal axes) and the conventional cell measures 5.9847, 5.9847 and 16.9945 Å, with angles of 90.00, 90.00 and 120.00 degrees. Symmetry generates all atoms from Ba at (0.0000, 0.0000, 0.2187), Ni at (0.0000, 0.0000, 0.0000), Pd at (0.0000, 0.0000, 0.4112) and O at (0.0392, 0.5196, 0.7493).

Its magnetization is 2.370 μB per formula unit. Its total energy is -177.083 eV/cell. The theoretical density comes out at 6.069 g cm⁻³.